Entry 1:
Ac3Ga2Ni3: optimized geometry, PBE.

The structure belongs to space group Cmcm (No. 63); the cell edges are 4.267, 11.972 and 14.379 Å and the angles 90.00°, 90.00° and 90.00°. Symmetry generates all atoms from Ac at (0.000, 0.076, 0.111), Ac at (0.000, 0.355, 0.250), Ga at (0.000, 0.217, 0.578), Ni at (0.000, 0.311, 0.750) and Ni at (0.000, 0.389, 0.037).

As for the crystal system: orthorhombic. Its total DFT energy (no corrections) is -155.52 eV per cell.



Entry 2:
Ac12Ga3Ni5: optimized geometry, PBE.

The structure belongs to space group Ia-3d (No. 230); the cell edges are 17.903, 17.903 and 17.903 Å and the angles 90.00°, 90.00° and 90.00°. Symmetry generates all atoms from Ac at (0.025, 0.060, 0.651), Ga at (0.000, 0.250, 0.125), Ni at (0.000, 0.000, 0.000) and Ni at (0.000, 0.250, 0.375).

As for the crystal system: cubic. Its total DFT energy (no corrections) is -708.63 eV per cell.



Entry 3:
AcGa9Ni2: optimized geometry, PBE.

The structure belongs to space group I4_1/amd (No. 141, origin choice 2); the cell edges are 10.583, 10.583 and 7.553 Å and the angles 90.00°, 90.00° and 90.00°. Symmetry generates all atoms from Ac at (0.000, 0.250, 0.375), Ga at (0.000, 0.250, 0.875), Ga at (0.123, 0.051, 0.690) and Ni at (0.000, 0.000, 0.000).

As for the crystal system: tetragonal. As for the relative energy among the computed polymorphs: 0.027 eV per atom. Its total DFT energy (no corrections) is -185.26 eV per cell.



Entry 4:
Ac3Ga5Ni6: optimized geometry, PBE.

The structure belongs to space group Immm (No. 71); the cell edges are 4.286, 9.705 and 12.530 Å and the angles 90.00°, 90.00° and 90.00°. Symmetry generates all atoms from Ac at (0.000, 0.000, 0.000), Ac at (0.000, 0.000, 0.307), Ga at (0.000, 0.325, 0.329), Ga at (0.000, 0.500, 0.000), Ni at (0.000, 0.194, 0.500) and Ni at (0.000, 0.282, 0.108).

As for the crystal system: orthorhombic. Its total DFT energy (no corrections) is -136.97 eV per cell.



Entry 5:
AcGa4Ni6: optimized geometry, PBE.

The structure belongs to space group P-6m2 (No. 187); the cell edges are 6.9317, 6.9317 and 3.9331 Å and the angles 90.00°, 90.00° and 120.00°. Symmetry generates all atoms from Ac at (0.0000, 0.0000, 0.0000), Ga at (0.2037, 0.4073, 0.5000), Ga at (0.6667, 0.3333, 0.0000), Ni at (0.0717, 0.5358, 0.0000) and Ni at (0.4203, 0.2102, 0.5000).

As for the crystal system: hexagonal. Its total DFT energy (no corrections) is -55.00 eV per cell.



Entry 6:
AcGaNi4: optimized geometry, PBE.

The structure belongs to space group F-43m (No. 216); the cell edges are 7.201, 7.201 and 7.201 Å and the angles 90.00°, 90.00° and 90.00°. Symmetry generates all atoms from Ac at (0.000, 0.000, 0.000), Ga at (0.250, 0.250, 0.750) and Ni at (0.123, 0.123, 0.377).

As for the crystal system: cubic. As for the relative energy among the computed polymorphs: 0.022 eV per atom. Its total DFT energy (no corrections) is -126.04 eV per cell.



Entry 7:
Ac4Ga3Ni: optimized geometry, PBE.

The structure belongs to space group Pmm2 (No. 25); the cell edges are 4.413, 4.704 and 11.364 Å and the angles 90.00°, 90.00° and 90.00°. Symmetry generates all atoms from Ac at (0.000, 0.000, 0.000), Ac at (0.000, 0.500, 0.471), Ac at (0.500, 0.000, 0.696), Ac at (0.500, 0.500, 0.197), Ga at (0.000, 0.500, 0.773), Ga at (0.500, 0.000, 0.392), Ga at (0.500, 0.500, 0.910) and Ni at (0.000, 0.000, 0.284).

As for the crystal system: orthorhombic. Its total DFT energy (no corrections) is -34.71 eV per cell.



Entry 8:
Ac2Ga6Ni3: optimized geometry, PBE.

The structure belongs to space group P-62m (No. 189); the cell edges are 7.7100, 7.7100 and 4.2093 Å and the angles 90.00°, 90.00° and 120.00°. Symmetry generates all atoms from Ac at (0.3333, 0.6667, 0.0000), Ga at (0.0000, 0.3033, 0.5000), Ga at (0.0000, 0.8044, 0.0000) and Ni at (0.0000, 0.6411, 0.5000).

As for the crystal system: hexagonal. Its total DFT energy (no corrections) is -48.73 eV per cell.



Entry 9:
AcGaNi4: optimized geometry, PBE.

The structure belongs to space group Pmma (No. 51); the cell edges are 6.919, 3.892 and 7.563 Å and the angles 90.00°, 90.00° and 90.00°. Symmetry generates all atoms from Ac at (0.250, 0.000, 0.148), Ga at (0.250, 0.000, 0.719), Ni at (0.000, 0.000, 0.500), Ni at (0.051, 0.500, 0.718) and Ni at (0.250, 0.500, 0.453).

As for the crystal system: orthorhombic. As for the relative energy among the computed polymorphs: 0.000 eV per atom. Its total DFT energy (no corrections) is -63.28 eV per cell.



Entry 10:
Ac2GaNi3: optimized geometry, PBE.

The structure belongs to space group Fmmm (No. 69); the cell edges are 8.529, 8.558 and 14.527 Å and the angles 90.00°, 90.00° and 90.00°. Symmetry generates all atoms from Ac at (0.000, 0.240, 0.000), Ac at (0.250, 0.250, 0.250), Ga at (0.000, 0.000, 0.335), Ni at (0.000, 0.000, 0.166) and Ni at (0.250, 0.000, 0.084).

As for the crystal system: orthorhombic. Its total DFT energy (no corrections) is -245.91 eV per cell.



Entry 11:
AcGaNi: optimized geometry, PBE.

The structure belongs to space group P-6m2 (No. 187); the cell edges are 4.3286, 4.3286 and 4.3349 Å and the angles 90.00°, 90.00° and 120.00°. Symmetry generates all atoms from Ac at (0.0000, 0.0000, 0.0000), Ga at (0.6667, 0.3333, 0.5000) and Ni at (0.3333, 0.6667, 0.5000).

As for the crystal system: hexagonal. As for the relative energy among the computed polymorphs: 0.057 eV per atom. Its total DFT energy (no corrections) is -14.33 eV per cell.



Entry 12:
Ac2GaNi4: optimized geometry, PBE.

The structure belongs to space group Fmmm (No. 69); the cell edges are 7.802, 8.585 and 8.807 Å and the angles 90.00°, 90.00° and 90.00°. Symmetry generates all atoms from Ac at (0.250, 0.250, 0.250), Ga at (0.000, 0.000, 0.000), Ni at (0.000, 0.226, 0.500) and Ni at (0.177, 0.000, 0.500).

As for the crystal system: orthorhombic. Its total DFT energy (no corrections) is -143.95 eV per cell.



Entry 13:
AcGa5Ni3: optimized geometry, PBE.

The structure belongs to space group Cmcm (No. 63); the cell edges are 4.030, 12.397 and 12.440 Å and the angles 90.00°, 90.00° and 90.00°. Symmetry generates all atoms from Ac at (0.000, 0.169, 0.250), Ga at (0.000, 0.000, 0.000), Ga at (0.000, 0.204, 0.565), Ga at (0.000, 0.447, 0.151), Ni at (0.000, 0.124, 0.750) and Ni at (0.000, 0.394, 0.535).

As for the crystal system: orthorhombic. Its total DFT energy (no corrections) is -162.38 eV per cell.



Entry 14:
Ac6GaNi2: optimized geometry, PBE.

The structure belongs to space group Immm (No. 71); the cell edges are 10.002, 10.773 and 11.037 Å and the angles 90.00°, 90.00° and 90.00°. Symmetry generates all atoms from Ac at (0.000, 0.191, 0.230), Ac at (0.186, 0.500, 0.170), Ac at (0.208, 0.324, 0.500), Ga at (0.000, 0.000, 0.000), Ga at (0.000, 0.000, 0.500), Ni at (0.000, 0.347, 0.000) and Ni at (0.000, 0.500, 0.381).

As for the crystal system: orthorhombic. Its total DFT energy (no corrections) is -164.31 eV per cell.



Entry 15:
Ac4GaNi3: optimized geometry, PBE.

The structure belongs to space group Pmm2 (No. 25); the cell edges are 4.143, 4.511 and 11.640 Å and the angles 90.00°, 90.00° and 90.00°. Symmetry generates all atoms from Ac at (0.000, 0.000, 0.000), Ac at (0.000, 0.500, 0.258), Ac at (0.500, 0.000, 0.480), Ac at (0.500, 0.500, 0.769), Ga at (0.000, 0.000, 0.687), Ni at (0.000, 0.500, 0.572), Ni at (0.500, 0.000, 0.194) and Ni at (0.500, 0.500, 0.069).

As for the crystal system: orthorhombic. Its total DFT energy (no corrections) is -39.16 eV per cell.



Entry 16:
AcGa2Ni2: optimized geometry, PBE.

The structure belongs to space group C2/m (No. 12); the cell edges are 10.271, 4.284 and 4.568 Å and the angles 90.00°, 108.90° and 90.00°. Symmetry generates all atoms from Ac at (0.000, 0.000, 0.000), Ga at (0.153, 0.500, 0.602) and Ni at (0.247, 0.500, 0.168).

As for the crystal system: monoclinic. As for the relative energy among the computed polymorphs: 0.000 eV per atom. Its total DFT energy (no corrections) is -48.54 eV per cell.



Entry 17:
Ac3GaNi: optimized geometry, PBE.

The structure belongs to space group Pm-3m (No. 221); the cell edges are 5.596, 5.596 and 5.596 Å and the angles 90.00°, 90.00° and 90.00°. Symmetry generates all atoms from Ac at (0.000, 0.000, 0.500), Ga at (0.500, 0.500, 0.500) and Ni at (0.000, 0.000, 0.000).

As for the crystal system: cubic. As for the relative energy among the computed polymorphs: 0.192 eV per atom. Its total DFT energy (no corrections) is -21.52 eV per cell.



Entry 18:
Ac3Ga2Ni6: optimized geometry, PBE.

The structure belongs to space group Im-3m (No. 229); the cell edges are 9.363, 9.363 and 9.363 Å and the angles 90.00°, 90.00° and 90.00°. Symmetry generates all atoms from Ac at (0.000, 0.000, 0.292), Ga at (0.250, 0.250, 0.250) and Ni at (0.000, 0.332, 0.332).

As for the crystal system: cubic. Its total DFT energy (no corrections) is -226.44 eV per cell.